[1]
The following is a DFT calculation (SCAN) of a crystal of BaCa2GeSb relaxed with PBEsol.

a b c (Å): 5.9588 5.9588 5.3467
angles (deg): 90.00 90.00 90.00
Last column: nearest neighbours and their distance in Å.
Space group P4/mmm (No. 123)
Unique sites:
Ba  0.0000  0.0000  0.0000  2 Ge 2.67, 4 Ca 2.98
Ca  0.0000  0.5000  0.0000  2 Ba 2.98
Ge  0.0000  0.0000  0.5000  2 Ba 2.67
Sb  0.5000  0.5000  0.5000  8 Ca 4.00, 4 Ge 4.21

## Properties
Magnetization (μB per cell): 0.0
Electronic total energy (eV per cell): -110.5

---

[2]
The following is a DFT calculation (SCAN) of a crystal of BaCa2ScGe relaxed with PBEsol.

a b c (Å): 5.8647 5.8647 5.2440
angles (deg): 90.00 90.00 90.00
Last column: nearest neighbours and their distance in Å.
Space group P4/mmm (No. 123)
Unique sites:
Ba  0.0000  0.0000  0.0000  8 Ca 3.93, 4 Ge 4.15
Ca  0.0000  0.5000  0.5000  2 Sc 2.93
Sc  0.5000  0.5000  0.5000  2 Ge 2.62, 4 Ca 2.93
Ge  0.5000  0.5000  0.0000  2 Sc 2.62

## Properties
Magnetization (μB per cell): 0.0
Electronic total energy (eV per cell): -91.3

---

[3]
The following is a DFT calculation (SCAN) of a crystal of Ba3CaH relaxed with PBEsol.

a b c (Å): 5.8570 5.8570 5.8570
angles (deg): 90.00 90.00 90.00
Last column: nearest neighbours and their distance in Å.
Space group Pm-3m (No. 221)
Unique sites:
Ba  0.0000  0.0000  0.5000  2 H 2.93
Ca  0.5000  0.5000  0.5000  12 Ba 4.14
H  0.0000  0.0000  0.0000  6 Ba 2.93

## Properties
Magnetization (μB per cell): 0.6
Electronic total energy (eV per cell): -132.4